*one*
{"formula": "MnIr3Rh3", "functional": "GGA-PBE", "state": "optimized geometry", "volume_a3_per_cell": 289.6, "sg": "No. 176", "cell": [[-2.164, 1.243, -0.883], [-5.515, -9.789, -0.266], [-0.179, 6.300, 9.305]], "species": ["Ir", "Ir", "Ir", "Ir", "Ir", "Ir", "Rh", "Rh", "Rh", "Rh", "Rh", "Rh", "Mn", "Mn"], "frac_coords": [[0.750, 0.571, 0.853], [0.250, 0.429, 0.147], [0.750, 0.282, 0.429], [0.750, 0.147, 0.718], [0.250, 0.718, 0.571], [0.250, 0.853, 0.282], [0.750, 0.550, 0.623], [0.250, 0.450, 0.377], [0.250, 0.623, 0.073], [0.250, 0.927, 0.550], [0.750, 0.073, 0.450], [0.750, 0.377, 0.927], [0.750, 0.333, 0.667], [0.250, 0.667, 0.333]]}



*two*
{"formula": "MnIr3Rh3", "functional": "GGA-PBE", "state": "optimized geometry", "volume_a3_per_cell": 413.2, "sg": "No. 62", "cell": [[-2.131, -2.096, -2.800], [8.463, -3.783, -3.609], [-0.754, -7.813, 6.423]], "species": ["Rh", "Rh", "Rh", "Rh", "Rh", "Rh", "Rh", "Rh", "Rh", "Rh", "Rh", "Rh", "Mn", "Mn", "Mn", "Mn", "Ir", "Ir", "Ir", "Ir", "Ir", "Ir", "Ir", "Ir", "Ir", "Ir", "Ir", "Ir"], "frac_coords": [[0.250, 0.611, 0.177], [0.750, 0.181, 0.139], [0.750, 0.889, 0.677], [0.750, 0.656, 0.780], [0.250, 0.844, 0.280], [0.250, 0.319, 0.639], [0.250, 0.344, 0.220], [0.750, 0.156, 0.720], [0.750, 0.389, 0.823], [0.750, 0.681, 0.361], [0.250, 0.819, 0.861], [0.250, 0.111, 0.323], [0.250, 0.588, 0.668], [0.750, 0.912, 0.168], [0.250, 0.088, 0.832], [0.750, 0.412, 0.332], [0.750, 0.212, 0.473], [0.250, 0.025, 0.074], [0.250, 0.525, 0.426], [0.750, 0.475, 0.574], [0.250, 0.788, 0.527], [0.750, 0.712, 0.027], [0.750, 0.975, 0.926], [0.250, 0.288, 0.973], [0.250, 0.048, 0.575], [0.250, 0.548, 0.925], [0.750, 0.952, 0.425], [0.750, 0.452, 0.075]]}



Pick *two*: it beats the second-best structure by 41.7 kJ/mol of atoms.



*one*
{"formula": "MnIr4Rh", "functional": "GGA-PBE", "state": "optimized geometry", "volume_a3_per_cell": 96.2, "sg": "No. 216", "cell": [[0.583, -1.167, 4.975], [-1.667, 3.255, 3.617], [-4.103, -1.210, 2.856]], "species": ["Rh", "Mn", "Ir", "Ir", "Ir", "Ir"], "frac_coords": [[0.000, 0.000, 0.000], [0.750, 0.750, 0.750], [0.375, 0.375, 0.875], [0.375, 0.375, 0.375], [0.375, 0.875, 0.375], [0.875, 0.375, 0.375]]}



*two*
{"formula": "MnIr4Rh", "functional": "GGA-PBE", "state": "optimized geometry", "volume_a3_per_cell": 84.9, "sg": "No. 12", "cell": [[-0.641, 4.494, -1.217], [-1.754, 2.376, 3.665], [2.898, 2.062, 3.073]], "species": ["Ir", "Ir", "Ir", "Ir", "Rh", "Mn"], "frac_coords": [[0.500, 0.166, 0.668], [0.000, 0.331, 0.337], [0.500, 0.834, 0.332], [0.000, 0.669, 0.663], [0.500, 0.500, 0.000], [0.000, 0.000, 0.000]]}



Pick *two*: it beats the second-best structure by 50.1 kJ/mol of atoms.



*one*
{"formula": "MnIrRh", "functional": "GGA-PBE", "state": "optimized geometry", "volume_a3_per_cell": 87.2, "sg": "No. 47", "cell": [[2.733, 0.000, 0.000], [0.000, 2.746, 0.000], [0.000, 0.000, 11.616]], "species": ["Mn", "Mn", "Rh", "Rh", "Ir", "Ir"], "frac_coords": [[0.500, 0.500, 0.847], [0.500, 0.500, 0.153], [0.500, 0.000, 0.662], [0.500, 0.000, 0.338], [0.000, 0.500, 0.500], [0.000, 0.000, 0.000]]}



*two*
{"formula": "MnIrRh", "functional": "GGA-PBE", "state": "optimized geometry", "volume_a3_per_cell": 41.0, "sg": "No. 44", "cell": [[-1.444, -4.151, -1.567], [-1.382, -3.320, 2.973], [-0.651, 4.362, -1.523]], "species": ["Mn", "Ir", "Rh"], "frac_coords": [[0.336, 0.336, 0.000], [0.996, 0.996, 0.000], [0.668, 0.668, 0.000]]}



Pick *two*: it beats the second-best structure by 18.7 kJ/mol of atoms.